Compound: LaHgPb2
Source: the Alexandria database
Functional: GGA-PBE
Structure: optimized geometry Values from VASP.

```
&SYSTEM
  ibrav = 0, nat = 4, ntyp = 3
/
ATOMIC_SPECIES
La 138.91 La.upf
Hg 200.59 Hg.upf
Pb 207.20 Pb.upf
ATOMIC_POSITIONS crystal
La 0.000 0.000 0.000
Hg 0.500 0.000 0.500
Pb 0.387 0.500 0.751
Pb 0.613 0.500 0.249
CELL_PARAMETERS angstrom
3.495 0.000 0.000
0.000 5.490 0.000
-0.372 0.000 6.321
```

Properties
Formation energy from the elements ... -0.25 eV per atom
Density ... 10.3 Mg/m³
Total magnetic moment ... 0.05 μB per atom
Uncorrected energy ... -3.416 eV per atom
DOS(E_F) ... 3.03 states/eV/f.u.